LiB2P2: relaxed, PBE.

Values from the calculation:
ΔE_f in eV per atom: 0.639
Magnetization in Bohr magnetons per cell: 0.0
Final energy in Ha/atom: -0.1683

Cell lengths 6.2761, 6.2761, 2.9692 Å; angles 90.00, 90.00, 90.00 degrees
With the nearest neighbours (Å) after each atom.
Fractional coordinates of all 10 atoms:
P 0.1452 0.3548 0.0000  4 B 2.17, 2 Li 2.41
P 0.6452 0.1452 0.0000  4 B 2.17, 2 Li 2.41
P 0.8548 0.6452 0.0000  4 B 2.17, 2 Li 2.41
P 0.3548 0.8548 0.0000  4 B 2.17, 2 Li 2.41
B 0.3976 0.1024 0.5000  1 B 1.82
B 0.6024 0.8976 0.5000  1 B 1.82
B 0.1024 0.6024 0.5000  1 B 1.82
B 0.8976 0.3976 0.5000  1 B 1.82
Li 0.5000 0.5000 0.0000  4 P 2.41
Li 0.0000 0.0000 0.0000  4 P 2.41

MnZnPt4: relaxed, PBE.

Values from the calculation:
ΔE_f in eV per atom: -0.305
Magnetization in Bohr magnetons per cell: 3.8
Final energy in Ha/atom: -0.2232

Cell lengths 2.7884, 4.9333, 7.2358 Å; angles 100.06, 78.89, 73.58 degrees
With the nearest neighbours (Å) after each atom.
Fractional coordinates of all 6 atoms:
Zn 0.0000 0.0000 0.0000  10 Pt 2.71-2.97, 2 Zn 2.79
Pt 0.3314 0.0069 0.3304  2 Zn 2.72, 3 Mn 2.73-2.93, 7 Pt 2.77-2.82
Pt 0.8279 0.5143 0.8298  3 Zn 2.71-2.97, 2 Mn 2.71, 7 Pt 2.77-2.82
Pt 0.1721 0.4857 0.1702  3 Zn 2.71-2.97, 2 Mn 2.71, 7 Pt 2.77-2.82
Pt 0.6686 0.9931 0.6696  2 Zn 2.72, 3 Mn 2.73-2.93, 7 Pt 2.77-2.82
Mn 0.5000 0.5000 0.5000  10 Pt 2.71-2.93, 2 Mn 2.79

Ca2TlSiBi: relaxed, PBE.

Values from the calculation:
Uncorrected formation energy in eV per atom: 0.40
Magnetization in Bohr magnetons per cell: 1.0
Final energy in Ha/atom: -0.1005

Cell lengths 5.9482, 5.7577, 5.9482 Å; angles 90.00, 90.00, 90.00 degrees
With the nearest neighbours (Å) after each atom.
Fractional coordinates of all 5 atoms:
Ca 0.5000 0.0000 0.0000  2 Bi 2.97
Ca 0.0000 0.0000 0.5000  2 Bi 2.97
Tl 0.0000 0.5000 0.0000  2 Bi 2.88
Si 0.5000 0.5000 0.5000  8 Ca 4.14, 4 Tl 4.21
Bi 0.0000 0.0000 0.0000  2 Tl 2.88, 4 Ca 2.97